A relaxed MgCoHgF6 crystal. Source: Alexandria, functional PBE+U.

- DFT total energy (eV/atom) = -4.380
- space group = P-31c, No. 163

Cell: 5.3662 5.3662 9.8265 Å, 90.00 90.00 120.00°
With the nearest neighbours (Å) after each atom.
Fractional positions:
Mg1 0.3333 0.6667 0.2500  6 F 2.01
Mg2 0.6667 0.3333 0.7500  6 F 2.01
Co1 0.3333 0.6667 0.7500  6 F 2.06
Co2 0.6667 0.3333 0.2500  6 F 2.06
Hg1 0.0000 0.0000 0.0000  6 F 2.36
Hg2 0.0000 0.0000 0.5000  6 F 2.36
F1 0.0059 0.3608 0.1403  1 Mg 2.01, 1 Co 2.06
F2 0.0059 0.6451 0.3597  1 Mg 2.01, 1 Co 2.06
F3 0.3549 0.3608 0.3597  1 Mg 2.01, 1 Co 2.06
F4 0.3549 0.9941 0.1403  1 Mg 2.01, 1 Co 2.06
F5 0.3608 0.0059 0.6403  1 Mg 2.01, 1 Co 2.06
F6 0.3608 0.3549 0.8597  1 Mg 2.01, 1 Co 2.06
F7 0.6392 0.6451 0.1403  1 Mg 2.01, 1 Co 2.06
F8 0.6392 0.9941 0.3597  1 Mg 2.01, 1 Co 2.06
F9 0.6451 0.0059 0.8597  1 Mg 2.01, 1 Co 2.06
F10 0.6451 0.6392 0.6403  1 Mg 2.01, 1 Co 2.06
F11 0.9941 0.3549 0.6403  1 Mg 2.01, 1 Co 2.06
F12 0.9941 0.6392 0.8597  1 Mg 2.01, 1 Co 2.06